No. 1
Density functional theory data (PBE) for crystalline AcNpAl at its relaxed geometry.

Properties
As for the polymorph energy (0 for the lowest one): 0 meV per atom.

Geometry as extended XYZ:
```
3
Lattice="-3.028 0.962 4.173 -1.510 4.907 1.069 -5.009 1.405 -0.663" Properties=species:S:1:pos:R:3 pbc="T T T"
Ac -2.387 1.818 1.145
Al 0.000 0.000 0.000
Np -7.160 5.455 3.434
```

=====

No. 2
Density functional theory data (PBE) for crystalline AcNpAl at its relaxed geometry.

Properties
As for the polymorph energy (0 for the lowest one): 465 meV per atom.

Geometry as extended XYZ:
```
3
Lattice="0.000 3.562 3.562 3.562 0.000 3.562 3.562 3.562 0.000" Properties=species:S:1:pos:R:3 pbc="T T T"
Np 5.342 5.342 5.342
Ac 0.000 0.000 0.000
Al 1.781 1.781 1.781
```

=====

No. 3
Density functional theory data (PBE) for crystalline AcAl4Os at its relaxed geometry.

Properties
The calculation puts the calculated total energy at -5.5118 eV/atom.

Geometry as extended XYZ:
```
12
Lattice="-6.509 -0.988 4.417 -1.067 -3.356 -2.323 3.775 -4.375 4.585" Properties=species:S:1:pos:R:3 pbc="T T T"
Al -3.255 -0.494 2.208
Al -3.170 -3.506 2.690
Al -2.021 -2.087 0.113
Ac -2.542 -3.453 6.155
Ac -0.192 -1.910 2.847
Al -1.780 -6.631 6.566
Al 1.680 -4.862 2.420
Al -0.631 -5.212 3.988
Os -4.174 -1.561 4.172
Os 1.440 -3.802 4.830
Al 0.000 0.000 0.000
Al -5.481 -3.857 4.258
```

=====

No. 4
Density functional theory data (PBE) for crystalline AcAlOs at its relaxed geometry.

Properties
As for the polymorph energy (0 for the lowest one): 676 meV per atom.

Geometry as extended XYZ:
```
3
Lattice="-4.485 -1.133 -1.648 -3.938 2.303 1.818 -2.475 3.201 -2.783" Properties=species:S:1:pos:R:3 pbc="T T T"
Ac 0.000 0.000 0.000
Al -2.724 1.093 -0.653
Os -8.173 3.278 -1.960
```

=====

No. 5
Density functional theory data (PBE) for crystalline AcAlOs at its relaxed geometry.

Properties
As for the polymorph energy (0 for the lowest one): 0 meV per atom.

Geometry as extended XYZ:
```
3
Lattice="2.015 3.562 2.345 -1.512 1.133 4.322 2.714 -0.884 3.755" Properties=species:S:1:pos:R:3 pbc="T T T"
Al 0.000 0.000 0.000
Ac 0.804 0.953 2.605
Os 2.413 2.859 7.816
```

=====

No. 6
Density functional theory data (PBE) for crystalline AcAl3Pd2 at its relaxed geometry.

Properties
The calculation puts the calculated total energy at -5.0597 eV/atom.

Geometry as extended XYZ:
```
12
Lattice="-2.744 5.884 -1.489 -5.899 -1.606 -2.643 -2.303 0.197 5.020" Properties=species:S:1:pos:R:3 pbc="T T T"
Al -5.673 5.094 -1.281
Pd -6.075 3.006 -2.905
Al -5.273 -0.620 2.169
Ac -5.976 -0.372 -1.206
Pd -7.226 3.105 -0.395
Al -4.689 2.682 -0.735
Al -8.583 1.018 0.586
Ac -4.971 4.846 2.093
Pd -2.568 1.271 -1.228
Pd -3.720 1.369 1.282
Al -2.363 3.456 0.302
Al -6.257 1.792 1.623
```

=====

No. 7
Density functional theory data (PBE) for crystalline Ac3Al7Pd2 at its relaxed geometry.

Properties
The calculation puts the calculated total energy at -4.6607 eV/atom.

Geometry as extended XYZ:
```
12
Lattice="2.902 1.676 9.016 -2.902 1.676 9.016 0.000 -3.351 9.016" Properties=species:S:1:pos:R:3 pbc="T T T"
Al -1.487 0.858 15.968
Al 1.487 0.858 15.968
Al 0.000 1.717 11.080
Al -1.487 -0.858 11.080
Pd 0.000 0.000 17.929
Pd 0.000 0.000 9.118
Ac 0.000 0.000 23.151
Ac 0.000 0.000 0.000
Al 1.487 -0.858 11.080
Al 0.000 -1.717 15.968
Al 0.000 0.000 13.524
Ac 0.000 0.000 3.897
```

=====

No. 8
Density functional theory data (PBE) for crystalline AcPrAl at its relaxed geometry.

Properties
As for the polymorph energy (0 for the lowest one): 0 meV per atom.

Geometry as extended XYZ:
```
3
Lattice="4.744 -1.712 1.827 1.085 -5.252 0.138 3.588 -2.087 -3.398" Properties=species:S:1:pos:R:3 pbc="T T T"
Al 2.354 -2.263 -0.358
Pr 0.000 0.000 0.000
Ac 4.708 -4.525 -0.716
```

=====

No. 9
Density functional theory data (PBE) for crystalline AcAlPt2 at its relaxed geometry.

Properties
The calculation puts the calculated total energy at -6.1323 eV/atom.

Geometry as extended XYZ:
```
16
Lattice="7.473 0.000 0.000 0.000 4.357 0.000 0.000 0.000 10.882" Properties=species:S:1:pos:R:3 pbc="T T T"
Ac 2.606 3.268 6.942
Al 7.256 1.089 6.562
Al 0.218 3.268 4.320
Pt 5.950 3.268 6.155
Al 3.954 3.268 1.121
Ac 4.867 1.089 3.939
Ac 1.130 1.089 1.502
Al 3.519 1.089 9.761
Pt 6.401 3.268 2.147
Pt 1.523 1.089 4.727
Pt 2.665 3.268 3.293
Pt 2.214 3.268 10.168
Ac 6.343 3.268 9.380
Pt 4.809 1.089 7.588
Pt 5.260 1.089 0.714
Pt 1.072 1.089 8.734
```

=====

No. 10
Density functional theory data (PBE) for crystalline AcAl5Pt2 at its relaxed geometry.

Properties
The calculation puts the calculated total energy at -5.2474 eV/atom.

Geometry as extended XYZ:
```
8
Lattice="-2.101 3.661 5.063 2.101 -3.661 5.063 2.101 3.661 -5.063" Properties=species:S:1:pos:R:3 pbc="T T T"
Al 0.000 1.380 3.494
Al 2.101 2.281 1.569
Pt 0.000 3.661 2.399
Al 2.101 2.281 -1.569
Al 0.000 1.380 6.632
Pt 2.101 0.000 2.664
Ac 0.000 0.000 0.000
Al 0.000 3.661 0.000
```

=====

Number 1: magnetic moment 5.089 μB/f.u.. Number 2: magnetic moment 4.956 μB/f.u.. Number 3: magnetic moment 0.006 μB/f.u.. Number 4: magnetic moment 0.003 μB/f.u.. Number 5: magnetic moment 0.006 μB/f.u.. Number 6: magnetic moment 0.009 μB/f.u.. Number 7: magnetic moment 0.003 μB/f.u.. Number 8: magnetic moment 0.492 μB/f.u.. Number 9: magnetic moment 0.001 μB/f.u.. Number 10: magnetic moment 0.003 μB/f.u..